No. 1
{
  "formula": "KVCd2",
  "functional": "PBE",
  "state": "optimized geometry",
  "ef_mev_per_atom": 673,
  "lattice_angstrom": [[5.490, 0.000, 0.000], [0.000, 5.490, 0.000], [2.745, 2.745, 9.843]],
  "species": ["K", "K", "Cd", "Cd", "Cd", "Cd", "V", "V"],
  "fractional_positions": [[0.500, 0.500, 0.000], [0.250, 0.750, 0.500], [0.815, 0.125, 0.250], [0.935, 0.625, 0.250], [0.375, 0.185, 0.750], [0.875, 0.065, 0.750], [0.000, 0.000, 0.000], [0.750, 0.250, 0.500]]
}


No. 2
{
  "formula": "MgAl2Te",
  "functional": "PBE",
  "state": "optimized geometry",
  "formation_energy_uncorrected_mev_per_atom": 98,
  "lattice_angstrom": [[8.149, -0.001, 0.000], [7.268, 3.687, 0.000], [7.268, 1.738, 3.252]],
  "species": ["Al", "Al", "Mg", "Te"],
  "fractional_positions": [[0.004, 0.004, 0.004], [0.496, 0.496, 0.496], [0.250, 0.250, 0.250], [0.750, 0.750, 0.750]]
}


No. 3
{
  "formula": "Na4Pu3UTe8",
  "functional": "PBE",
  "state": "optimized geometry",
  "formation_energy_uncorrected_mev_per_atom": -986,
  "lattice_angstrom": [[-1.911, 4.834, 7.327], [-5.811, -6.458, 2.745], [8.516, -2.191, -1.841]],
  "species": ["Na", "Na", "Na", "Na", "Pu", "Pu", "Pu", "U", "Te", "Te", "Te", "Te", "Te", "Te", "Te", "Te"],
  "fractional_positions": [[0.500, 0.000, 0.000], [0.500, 0.000, 0.500], [0.000, 0.000, 0.000], [0.000, 0.000, 0.500], [0.500, 0.500, 0.000], [0.500, 0.500, 0.500], [0.000, 0.500, 0.500], [0.000, 0.500, 0.000], [0.242, 0.734, 0.992], [0.242, 0.734, 0.484], [0.255, 0.265, 0.510], [0.750, 0.734, 0.992], [0.250, 0.266, 0.008], [0.745, 0.735, 0.490], [0.758, 0.266, 0.516], [0.758, 0.266, 0.008]]
}


Looking at N(E_F) for the records above, in order, we have 8.23; 0.96; 45.03 states/eV/cell.